# 1
A relaxed CeHoEr2Bi4 crystal, computed with GGA-PBE.

D(E_F): 0.866 states/eV per atom
VASP energy: -41.65 eV per formula unit
Magnetic moment: 0.8 μB per cell
Calculated formation energy: -811 meV/atom

```
data_CeHoEr2Bi4
_chemical_formula_sum 'Ce1 Ho1 Er2 Bi4'
_cell_length_a 7.772
_cell_length_b 4.496
_cell_length_c 7.775
_cell_angle_alpha 90.00
_cell_angle_beta 109.47
_cell_angle_gamma 90.00
_space_group_name_H-M_alt 'P 1 2/m 1'
_space_group_IT_number 10
loop_
_space_group_symop_operation_xyz
'x,y,z'
'-x,-y,-z'
'-x,y,-z'
'x,-y,z'
loop_
_atom_site_label
_atom_site_type_symbol
_atom_site_fract_x
_atom_site_fract_y
_atom_site_fract_z
_atom_site_occupancy
Ce1 Ce 0.000 0.000 0.000 1
Ho1 Ho 0.000 0.500 0.500 1
Er1 Er 0.500 0.000 0.500 1
Er2 Er 0.500 0.500 0.000 1
Bi1 Bi 0.253 0.000 0.748 1
Bi2 Bi 0.256 0.500 0.256 1
```

# 2
A relaxed Zr2BeTlF crystal, computed with GGA-PBE.

Formation energy without anion corrections: 0.860 eV per atom
D(E_F): 1.033 states/eV per atom
VASP energy: -20.76 eV per formula unit
Magnetic moment: 2.3 μB per cell

```
data_Zr2BeTlF
_chemical_formula_sum 'Zr2 Be1 Tl1 F1'
_cell_length_a 5.521
_cell_length_b 5.521
_cell_length_c 4.282
_cell_angle_alpha 90.00
_cell_angle_beta 90.00
_cell_angle_gamma 90.00
_space_group_name_H-M_alt 'P 4/m m m'
_space_group_IT_number 123
_space_group_name_Hall '-P 4 2'
loop_
_atom_site_label
_atom_site_type_symbol
_atom_site_fract_x
_atom_site_fract_y
_atom_site_fract_z
_atom_site_occupancy
Zr1 Zr 0.000 0.500 0.000 1
Be1 Be 0.000 0.000 0.500 1
Tl1 Tl 0.000 0.000 0.000 1
F1 F 0.500 0.500 0.500 1
```

# 3
A relaxed TlHPd crystal, computed with GGA-PBE.

D(E_F): 0.337 states/eV per atom
VASP energy: -11.06 eV per formula unit
Magnetic moment: 0.0 μB per cell
Energy above the most stable polymorph in this dataset: 3.2 kJ per mole of atoms

```
data_TlHPd
_chemical_formula_sum 'Tl4 H4 Pd4'
_cell_length_a 10.680
_cell_length_b 3.249
_cell_length_c 5.707
_cell_angle_alpha 90.00
_cell_angle_beta 102.20
_cell_angle_gamma 90.00
_space_group_name_H-M_alt 'C 1 2/m 1'
_space_group_IT_number 12
loop_
_space_group_symop_operation_xyz
'x,y,z'
'-x,-y,-z'
'-x,y,-z'
'x,-y,z'
'x+1/2,y+1/2,z'
'-x+1/2,-y+1/2,-z'
'-x+1/2,y+1/2,-z'
'x+1/2,-y+1/2,z'
loop_
_atom_site_label
_atom_site_type_symbol
_atom_site_fract_x
_atom_site_fract_y
_atom_site_fract_z
_atom_site_occupancy
Tl1 Tl 0.113 0.000 0.298 1
H1 H 0.105 0.500 0.767 1
Pd1 Pd 0.166 0.000 0.820 1
```

# 4
A relaxed La5CuNi2 crystal, computed with GGA-PBE.

D(E_F): 1.467 states/eV per atom
VASP energy: -41.71 eV per formula unit
Magnetic moment: 0.0 μB per cell
Calculated formation energy: -177 meV/atom

```
data_La5CuNi2
_chemical_formula_sum 'La20 Cu4 Ni8'
_cell_length_a 8.034
_cell_length_b 8.034
_cell_length_c 13.043
_cell_angle_alpha 90.00
_cell_angle_beta 90.00
_cell_angle_gamma 90.00
_space_group_name_H-M_alt 'I 4/m c m'
_space_group_IT_number 140
_space_group_name_Hall '-I 4 2c'
loop_
_atom_site_label
_atom_site_type_symbol
_atom_site_fract_x
_atom_site_fract_y
_atom_site_fract_z
_atom_site_occupancy
La1 La 0.000 0.000 0.000 1
La2 La 0.161 0.339 0.142 1
Cu1 Cu 0.000 0.000 0.250 1
Ni1 Ni 0.121 0.379 0.500 1
```

# 5
A relaxed YMoCl2 crystal, computed with GGA-PBE.

Formation energy without anion corrections: 0.226 eV per atom
D(E_F): 1.019 states/eV per atom
VASP energy: -20.08 eV per formula unit
Magnetic moment: 20.0 μB per cell
Energy above the most stable polymorph in this dataset: 75.5 kJ per mole of atoms

```
data_YMoCl2
_chemical_formula_sum 'Y4 Mo4 Cl8'
_cell_length_a 7.182
_cell_length_b 7.182
_cell_length_c 7.182
_cell_angle_alpha 90.00
_cell_angle_beta 90.00
_cell_angle_gamma 90.00
_space_group_name_H-M_alt 'F -4 3 m'
_space_group_IT_number 216
_space_group_name_Hall 'F -4 2 3'
loop_
_atom_site_label
_atom_site_type_symbol
_atom_site_fract_x
_atom_site_fract_y
_atom_site_fract_z
_atom_site_occupancy
Y1 Y 0.000 0.000 0.000 1
Mo1 Mo 0.250 0.250 0.250 1
Cl1 Cl 0.000 0.000 0.500 1
Cl2 Cl 0.250 0.250 0.750 1
```

# 6
A relaxed CaPm2In2 crystal, computed with GGA-PBE.

D(E_F): 0.663 states/eV per atom
VASP energy: -18.90 eV per formula unit
Magnetic moment: 0.0 μB per cell
Energy above the most stable polymorph in this dataset: 2.9 kJ per mole of atoms
Calculated formation energy: -385 meV/atom

```
data_CaPm2In2
_chemical_formula_sum 'Ca2 Pm4 In4'
_cell_length_a 3.828
_cell_length_b 5.465
_cell_length_c 14.464
_cell_angle_alpha 90.00
_cell_angle_beta 97.63
_cell_angle_gamma 90.00
_space_group_name_H-M_alt 'P 1 21/m 1'
_space_group_IT_number 11
loop_
_space_group_symop_operation_xyz
'x,y,z'
'-x,-y,-z'
'-x,y+1/2,-z'
'x,-y+1/2,z'
loop_
_atom_site_label
_atom_site_type_symbol
_atom_site_fract_x
_atom_site_fract_y
_atom_site_fract_z
_atom_site_occupancy
Ca1 Ca 0.146 0.250 0.293 1
Pm1 Pm 0.048 0.750 0.096 1
Pm2 Pm 0.235 0.750 0.469 1
In1 In 0.359 0.250 0.716 1
In2 In 0.450 0.750 0.900 1
```